# KPmTe2Au, relaxed, DFT PBE
# E_form (uncorrected) ... -0.897 eV per atom
# Total magnetic moment ... 0.00 μB per formula unit
# Energy ... -39.8 eV per cell
data_KPmTe2Au
_chemical_formula_sum 'K2 Pm2 Te4 Au2'
_cell_length_a 8.536
_cell_length_b 4.933
_cell_length_c 8.560
_cell_angle_alpha 90.00
_cell_angle_beta 97.93
_cell_angle_gamma 90.00
_space_group_name_H-M_alt 'P 1 2/c 1'
_space_group_IT_number 13
loop_
_space_group_symop_operation_xyz
'x,y,z'
'-x,-y,-z'
'-x,y,-z+1/2'
'x,-y,z+1/2'
loop_
_atom_site_label
_atom_site_fract_x
_atom_site_fract_y
_atom_site_fract_z
K1 0.000 0.154 0.250
Pm1 0.500 0.494 0.750
Te1 0.245 0.328 0.968
Au1 0.500 0.000 0.000

---

# KPm2Te4Au, relaxed, DFT PBE
# E_form (uncorrected) ... -1.164 eV per atom
# Total magnetic moment ... 0.00 μB per formula unit
# Energy ... -143.0 eV per cell
data_KPm2Te4Au
_chemical_formula_sum 'K4 Pm8 Te16 Au4'
_cell_length_a 4.492
_cell_length_b 15.272
_cell_length_c 15.867
_cell_angle_alpha 90.00
_cell_angle_beta 90.00
_cell_angle_gamma 90.00
_space_group_name_H-M_alt 'C m c m'
_space_group_IT_number 63
_space_group_name_Hall '-C 2c 2'
loop_
_atom_site_label
_atom_site_fract_x
_atom_site_fract_y
_atom_site_fract_z
K1 0.000 0.126 0.250
Pm1 0.000 0.368 0.071
Te1 0.000 0.000 0.000
Te2 0.000 0.269 0.611
Te3 0.000 0.454 0.250
Au1 0.000 0.153 0.750

---

# KPrAu10, relaxed, DFT PBE
# Total magnetic moment ... 0.00 μB per formula unit
# Energy ... -42.3 eV per cell
data_KPrAu10
_chemical_formula_sum 'K1 Pr1 Au10'
_cell_length_a 4.670
_cell_length_b 5.656
_cell_length_c 9.902
_cell_angle_alpha 90.00
_cell_angle_beta 90.00
_cell_angle_gamma 90.00
_space_group_name_H-M_alt 'P m m m'
_space_group_IT_number 47
loop_
_space_group_symop_operation_xyz
'x,y,z'
'-x,-y,-z'
'-x,-y,z'
'x,y,-z'
'x,-y,-z'
'-x,y,z'
'-x,y,-z'
'x,-y,z'
loop_
_atom_site_label
_atom_site_fract_x
_atom_site_fract_y
_atom_site_fract_z
K1 0.000 0.000 0.000
Pr1 0.000 0.500 0.500
Au1 0.000 0.000 0.338
Au2 0.000 0.500 0.174
Au3 0.500 0.000 0.500
Au4 0.500 0.255 0.257
Au5 0.500 0.500 0.000

---

# KPrAu2, relaxed, DFT PBE
# Distance to the lowest polymorph of the same formula ... 121 meV per atom
# Total magnetic moment ... 0.00 μB per formula unit
# Energy ... -42.5 eV per cell
data_KPrAu2
_chemical_formula_sum 'K3 Pr3 Au6'
_cell_length_a 4.3256
_cell_length_b 4.3256
_cell_length_c 24.5145
_cell_angle_alpha 90.00
_cell_angle_beta 90.00
_cell_angle_gamma 120.00
_space_group_name_H-M_alt 'R -3 m'
_space_group_IT_number 166
_space_group_name_Hall '-R 3 2"'
loop_
_atom_site_label
_atom_site_fract_x
_atom_site_fract_y
_atom_site_fract_z
K1 0.0000 0.0000 0.0000
Pr1 0.0000 0.0000 0.5000
Au1 0.0000 0.0000 0.2369

---

# KPrAu2, relaxed, DFT PBE
# Distance to the lowest polymorph of the same formula ... 0 meV per atom
# Total magnetic moment ... 0.00 μB per formula unit
# Energy ... -14.7 eV per cell
data_KPrAu2
_chemical_formula_sum 'K1 Pr1 Au2'
_cell_length_a 3.849
_cell_length_b 3.849
_cell_length_c 8.080
_cell_angle_alpha 90.00
_cell_angle_beta 90.00
_cell_angle_gamma 90.00
_space_group_name_H-M_alt 'P 4/m m m'
_space_group_IT_number 123
_space_group_name_Hall '-P 4 2'
loop_
_atom_site_label
_atom_site_fract_x
_atom_site_fract_y
_atom_site_fract_z
K1 0.000 0.000 0.000
Pr1 0.000 0.000 0.500
Au1 0.500 0.500 0.309

---

# KPrAu4, relaxed, DFT PBE
# Total magnetic moment ... 0.00 μB per formula unit
# Energy ... -84.1 eV per cell
data_KPrAu4
_chemical_formula_sum 'K4 Pr4 Au16'
_cell_length_a 8.192
_cell_length_b 8.192
_cell_length_c 8.192
_cell_angle_alpha 90.00
_cell_angle_beta 90.00
_cell_angle_gamma 90.00
_space_group_name_H-M_alt 'F -4 3 m'
_space_group_IT_number 216
_space_group_name_Hall 'F -4 2 3'
loop_
_atom_site_label
_atom_site_fract_x
_atom_site_fract_y
_atom_site_fract_z
K1 0.000 0.000 0.000
Pr1 0.250 0.250 0.750
Au1 0.125 0.125 0.375

---

# KPrAu2, relaxed, DFT PBE
# Distance to the lowest polymorph of the same formula ... 164 meV per atom
# Total magnetic moment ... 0.00 μB per formula unit
# Energy ... -56.0 eV per cell
data_KPrAu2
_chemical_formula_sum 'K4 Pr4 Au8'
_cell_length_a 7.531
_cell_length_b 7.531
_cell_length_c 7.531
_cell_angle_alpha 90.00
_cell_angle_beta 90.00
_cell_angle_gamma 90.00
_space_group_name_H-M_alt 'F m -3 m'
_space_group_IT_number 225
_space_group_name_Hall '-F 4 2 3'
loop_
_atom_site_label
_atom_site_fract_x
_atom_site_fract_y
_atom_site_fract_z
K1 0.000 0.000 0.000
Pr1 0.000 0.000 0.500
Au1 0.250 0.250 0.250

---

# KPrAuS2, relaxed, DFT PBE
# E_form (uncorrected) ... -1.128 eV per atom
# Total magnetic moment ... 0.00 μB per formula unit
# Energy ... -46.1 eV per cell
data_KPrAuS2
_chemical_formula_sum 'K2 Pr2 Au2 S4'
_cell_length_a 7.343
_cell_length_b 5.081
_cell_length_c 8.061
_cell_angle_alpha 90.00
_cell_angle_beta 100.55
_cell_angle_gamma 90.00
_space_group_name_H-M_alt 'P 1 2/c 1'
_space_group_IT_number 13
loop_
_space_group_symop_operation_xyz
'x,y,z'
'-x,-y,-z'
'-x,y,-z+1/2'
'x,-y,z+1/2'
loop_
_atom_site_label
_atom_site_fract_x
_atom_site_fract_y
_atom_site_fract_z
K1 0.000 0.148 0.250
Pr1 0.500 0.491 0.750
Au1 0.500 0.000 0.000
S1 0.252 0.318 0.963

---

# KPr2AuSe4, relaxed, DFT PBE
# E_form (uncorrected) ... -1.460 eV per atom
# Total magnetic moment ... 0.00 μB per formula unit
# Energy ... -158.2 eV per cell
data_KPr2AuSe4
_chemical_formula_sum 'K4 Pr8 Au4 Se16'
_cell_length_a 4.304
_cell_length_b 14.506
_cell_length_c 15.018
_cell_angle_alpha 90.00
_cell_angle_beta 90.00
_cell_angle_gamma 90.00
_space_group_name_H-M_alt 'C m c m'
_space_group_IT_number 63
_space_group_name_Hall '-C 2c 2'
loop_
_atom_site_label
_atom_site_fract_x
_atom_site_fract_y
_atom_site_fract_z
K1 0.000 0.122 0.250
Pr1 0.000 0.368 0.069
Au1 0.000 0.153 0.750
Se1 0.000 0.000 0.000
Se2 0.000 0.268 0.610
Se3 0.000 0.452 0.250

---

# KPrAuSe2, relaxed, DFT PBE
# E_form (uncorrected) ... -1.090 eV per atom
# Total magnetic moment ... 0.00 μB per formula unit
# Energy ... -43.1 eV per cell
data_KPrAuSe2
_chemical_formula_sum 'K2 Pr2 Au2 Se4'
_cell_length_a 7.738
_cell_length_b 5.045
_cell_length_c 8.299
_cell_angle_alpha 90.00
_cell_angle_beta 99.57
_cell_angle_gamma 90.00
_space_group_name_H-M_alt 'P 1 2/c 1'
_space_group_IT_number 13
loop_
_space_group_symop_operation_xyz
'x,y,z'
'-x,-y,-z'
'-x,y,-z+1/2'
'x,-y,z+1/2'
loop_
_atom_site_label
_atom_site_fract_x
_atom_site_fract_y
_atom_site_fract_z
K1 0.000 0.147 0.250
Pr1 0.500 0.491 0.750
Au1 0.500 0.000 0.000
Se1 0.244 0.329 0.964

---

# KPrTe2Au, relaxed, DFT PBE
# E_form (uncorrected) ... -0.902 eV per atom
# Total magnetic moment ... 0.00 μB per formula unit
# Energy ... -39.9 eV per cell
data_KPrTe2Au
_chemical_formula_sum 'K2 Pr2 Te4 Au2'
_cell_length_a 8.582
_cell_length_b 4.971
_cell_length_c 8.655
_cell_angle_alpha 90.00
_cell_angle_beta 98.56
_cell_angle_gamma 90.00
_space_group_name_H-M_alt 'P 1 2/c 1'
_space_group_IT_number 13
loop_
_space_group_symop_operation_xyz
'x,y,z'
'-x,-y,-z'
'-x,y,-z+1/2'
'x,-y,z+1/2'
loop_
_atom_site_label
_atom_site_fract_x
_atom_site_fract_y
_atom_site_fract_z
K1 0.000 0.170 0.250
Pr1 0.500 0.494 0.750
Te1 0.244 0.315 0.965
Au1 0.500 0.000 0.000

---

# K6PtAu3, relaxed, DFT PBE
# Total magnetic moment ... 0.00 μB per formula unit
# Energy ... -48.3 eV per cell
data_K6PtAu3
_chemical_formula_sum 'K12 Pt2 Au6'
_cell_length_a 9.645
_cell_length_b 6.306
_cell_length_c 14.033
_cell_angle_alpha 90.00
_cell_angle_beta 131.80
_cell_angle_gamma 90.00
_space_group_name_H-M_alt 'P 1 21/c 1'
_space_group_IT_number 14
loop_
_space_group_symop_operation_xyz
'x,y,z'
'-x,-y,-z'
'-x,y+1/2,-z+1/2'
'x,-y+1/2,z+1/2'
loop_
_atom_site_label
_atom_site_fract_x
_atom_site_fract_y
_atom_site_fract_z
K1 0.089 0.065 0.424
K2 0.252 0.555 0.425
K3 0.404 0.718 0.242
Pt1 0.000 0.000 0.000
Au1 0.229 0.151 0.244
Au2 0.500 0.000 0.500